# LaFe2SO | Alexandria via LeMat-Bulk | PBE with a Hubbard U | relaxed
# VASP energy   -3.8388 eV per atom
# Space group   P4/mmm, No. 123
# Magnetic moment   9.006 μB per cell
data_LaFe2SO
_chemical_formula_sum 'La1 Fe2 S1 O1'
_cell_length_a 6.4917
_cell_length_b 6.4917
_cell_length_c 5.2710
_cell_angle_alpha 90.00
_cell_angle_beta 90.00
_cell_angle_gamma 90.00
_space_group_name_H-M_alt 'P 1'
_space_group_IT_number 1
loop_
_space_group_symop_operation_xyz
'x,y,z'
loop_
_atom_site_label
_atom_site_type_symbol
_atom_site_fract_x
_atom_site_fract_y
_atom_site_fract_z
_atom_site_occupancy
La1 La 0.0000 0.0000 0.0000 1
Fe1 Fe 0.0000 0.5000 0.0000 1
Fe2 Fe 0.5000 0.0000 0.0000 1
S1 S 0.0000 0.0000 0.5000 1
O1 O 0.5000 0.5000 0.5000 1